(1)
Computed, not measured: an optimized crystal structure of Ac3TaS6 at the PBE level of DFT.

Uncorrected formation energy ... -17.06 eV/f.u.

Unit cell a=11.567 b=14.320 c=6.986 alpha=90.00 beta=90.00 gamma=90.00
Space group Cmc2_1 (No. 36)
Inequivalent atoms, fractional coordinates:
Ac 0.000 0.104 0.000 (multiplicity 4)
Ac 0.183 0.402 0.058 (multiplicity 8)
Ta 0.000 0.311 0.611 (multiplicity 4)
S 0.000 0.283 0.275 (multiplicity 4)
S 0.000 0.466 0.751 (multiplicity 4)
S 0.159 0.019 0.281 (multiplicity 8)
S 0.159 0.242 0.766 (multiplicity 8)



(2)
Computed, not measured: an optimized crystal structure of CrRh2Br at the PBE level of DFT.

Relative energy among the computed polymorphs ... 372 meV per atom
Uncorrected formation energy ... 2.59 eV/f.u.

Unit cell a=6.357 b=6.357 c=6.357 alpha=90.00 beta=90.00 gamma=90.00
Space group F-43m (No. 216)
Inequivalent atoms, fractional coordinates:
Cr 0.000 0.000 0.000 (multiplicity 4)
Rh 0.000 0.000 0.500 (multiplicity 4)
Rh 0.250 0.250 0.250 (multiplicity 4)
Br 0.250 0.250 0.750 (multiplicity 4)



(3)
Computed, not measured: an optimized crystal structure of KPdAu3 at the PBE level of DFT.

Relative energy among the computed polymorphs ... 1573 meV per atom
DFT formation energy ... 1.44 eV/atom

Unit cell a=5.437 b=5.437 c=5.437 alpha=90.00 beta=90.00 gamma=90.00
Space group Pm-3m (No. 221)
Inequivalent atoms, fractional coordinates:
K 0.000 0.000 0.000 (multiplicity 1)
Pd 0.500 0.500 0.500 (multiplicity 1)
Au 0.000 0.000 0.500 (multiplicity 3)



(4)
Computed, not measured: an optimized crystal structure of V2ZnP at the PBE level of DFT.

Relative energy among the computed polymorphs ... 198 meV per atom
DFT formation energy ... -0.03 eV/atom

Unit cell a=5.935 b=5.935 c=5.935 alpha=90.00 beta=90.00 gamma=90.00
Space group Fm-3m (No. 225)
Inequivalent atoms, fractional coordinates:
V 0.250 0.250 0.250 (multiplicity 8)
Zn 0.000 0.000 0.000 (multiplicity 4)
P 0.000 0.000 0.500 (multiplicity 4)



(5)
Computed, not measured: an optimized crystal structure of Co2NiSe at the PBE level of DFT.

Uncorrected formation energy ... 1.14 eV/f.u.

Unit cell a=5.811 b=5.811 c=5.811 alpha=90.00 beta=90.00 gamma=90.00
Space group F-43m (No. 216)
Inequivalent atoms, fractional coordinates:
Co 0.000 0.000 0.000 (multiplicity 4)
Co 0.250 0.250 0.250 (multiplicity 4)
Ni 0.000 0.000 0.500 (multiplicity 4)
Se 0.250 0.250 0.750 (multiplicity 4)



(6)
Computed, not measured: an optimized crystal structure of Ac8Sn2Au at the PBE level of DFT.

DFT formation energy ... -0.37 eV/atom

Unit cell a=20.964 b=5.504 c=7.573 alpha=90.00 beta=103.52 gamma=90.00
Space group C2/m (No. 12)
Inequivalent atoms, fractional coordinates:
Ac 0.018 0.000 0.278 (multiplicity 4)
Ac 0.092 0.500 0.970 (multiplicity 4)
Ac 0.153 0.500 0.493 (multiplicity 4)
Ac 0.213 0.000 0.826 (multiplicity 4)
Sn 0.183 0.000 0.257 (multiplicity 4)
Au 0.000 0.500 0.500 (multiplicity 2)



- What is the formula in the second record?
  CrRh2Br